Below is a relaxed NaSiAu4 crystal, with properties calculated at the GGA-PBE level.

Summary:
Density of states at the Fermi level in states/eV/atom: 0.27
Energy above the lowest structure with this stoichiometry in meV/atom: 45
ΔE_f (raw) in meV per atom: -107
E_tot in eV for the cell shown: -40.99
Calculated density in g/cm³: 11.09
Total magnetization in μB per cell: 0.000

Unit cell a=5.718 b=6.437 c=8.632 alpha=103.39 beta=125.58 gamma=81.35
Fractional positions:
Na  0.777  0.776  0.932
Na  0.223  0.224  0.068
Si  0.500  0.000  0.500
Si  0.000  0.500  0.500
Au  0.491  0.203  0.769
Au  0.749  0.405  0.144
Au  0.509  0.797  0.231
Au  0.251  0.595  0.856
Au  0.029  0.928  0.656
Au  0.280  0.653  0.419
Au  0.971  0.072  0.344
Au  0.720  0.347  0.581

---

Below is a relaxed NaSiAu4 crystal, with properties calculated at the GGA-PBE level.

Summary:
Density of states at the Fermi level in states/eV/atom: 0.29
Energy above the lowest structure with this stoichiometry in meV/atom: 0
ΔE_f (raw) in meV per atom: -152
E_tot in eV for the cell shown: -41.53
Calculated density in g/cm³: 10.85
Total magnetization in μB per cell: 0.000

Unit cell a=4.623 b=5.769 c=9.899 alpha=90.00 beta=103.50 gamma=90.00
Fractional positions:
Na  0.401  0.750  0.802
Na  0.599  0.250  0.198
Si  0.104  0.750  0.207
Si  0.896  0.250  0.793
Au  0.207  0.487  0.413
Au  0.793  0.513  0.587
Au  0.207  0.013  0.413
Au  0.793  0.987  0.587
Au  0.653  0.750  0.306
Au  0.347  0.250  0.694
Au  0.000  0.500  0.000
Au  0.000  0.000  0.000

---

Below is a relaxed Na2Si2Au crystal, with properties calculated at the GGA-PBE level.

Summary:
Density of states at the Fermi level in states/eV/atom: 0.25
Energy above the lowest structure with this stoichiometry in meV/atom: 477
ΔE_f (raw) in meV per atom: 314
E_tot in eV for the cell shown: -15.19
Calculated density in g/cm³: 4.92
Total magnetization in μB per cell: 0.000

Unit cell a=3.938 b=3.938 c=7.074 alpha=73.84 beta=73.84 gamma=90.00
Fractional positions:
Na  0.750  0.250  0.500
Na  0.250  0.750  0.500
Si  0.415  0.415  0.169
Si  0.585  0.585  0.831
Au  0.000  0.000  0.000

---

Below is a relaxed NaSiAu3 crystal, with properties calculated at the GGA-PBE level.

Summary:
Density of states at the Fermi level in states/eV/atom: 0.32
Energy above the lowest structure with this stoichiometry in meV/atom: 1307
ΔE_f (raw) in meV per atom: 1037
E_tot in eV for the cell shown: -11.39
Calculated density in g/cm³: 8.99
Total magnetization in μB per cell: 0.000

Unit cell a=4.913 b=4.913 c=4.913 alpha=90.00 beta=90.00 gamma=90.00
Fractional positions:
Na  0.000  0.000  0.000
Si  0.500  0.500  0.500
Au  0.000  0.500  0.000
Au  0.000  0.000  0.500
Au  0.500  0.000  0.000

---

Below is a relaxed Na6SiAu2 crystal, with properties calculated at the GGA-PBE level.

Summary:
Density of states at the Fermi level in states/eV/atom: 0.36
ΔE_f (raw) in meV per atom: -168
E_tot in eV for the cell shown: -21.40
Calculated density in g/cm³: 4.11
Total magnetization in μB per cell: 0.000

Unit cell a=5.234 b=5.234 c=10.002 alpha=74.83 beta=74.83 gamma=60.00
Fractional positions:
Na  0.579  0.579  0.263
Na  0.809  0.809  0.574
Na  0.695  0.695  0.914
Na  0.191  0.191  0.426
Na  0.421  0.421  0.737
Na  0.305  0.305  0.086
Si  0.000  0.000  0.000
Au  0.916  0.916  0.253
Au  0.084  0.084  0.747

---

Below is a relaxed Na2Si2Au crystal, with properties calculated at the GGA-PBE level.

Summary:
Density of states at the Fermi level in states/eV/atom: 0.25
Energy above the lowest structure with this stoichiometry in meV/atom: 0
ΔE_f (raw) in meV per atom: -163
E_tot in eV for the cell shown: -35.16
Calculated density in g/cm³: 4.95
Total magnetization in μB per cell: 0.000

Unit cell a=6.368 b=6.368 c=4.950 alpha=90.00 beta=90.00 gamma=90.00
Fractional positions:
Na  0.178  0.678  0.500
Na  0.678  0.822  0.500
Na  0.822  0.322  0.500
Na  0.322  0.178  0.500
Si  0.370  0.870  0.000
Si  0.870  0.630  0.000
Si  0.630  0.130  0.000
Si  0.130  0.370  0.000
Au  0.000  0.000  0.000
Au  0.500  0.500  0.000

---

Below is a relaxed Na3SiAu crystal, with properties calculated at the GGA-PBE level.

Summary:
Density of states at the Fermi level in states/eV/atom: 0.91
Energy above the lowest structure with this stoichiometry in meV/atom: 417
ΔE_f (raw) in meV per atom: 388
E_tot in eV for the cell shown: -10.72
Calculated density in g/cm³: 3.03
Total magnetization in μB per cell: 0.857

Unit cell a=5.442 b=5.442 c=5.442 alpha=90.00 beta=90.00 gamma=90.00
Last column: magnetic moment on the atom in μB.
Fractional positions:
Na  0.000  0.500  0.000  0.00
Na  0.000  0.000  0.500  0.00
Na  0.500  0.000  0.000  0.00
Si  0.500  0.500  0.500  0.22
Au  0.000  0.000  0.000  0.02

---

Below is a relaxed Na3Si2Au3 crystal, with properties calculated at the GGA-PBE level.

Summary:
Density of states at the Fermi level in states/eV/atom: 0.25
ΔE_f (raw) in meV per atom: -279
E_tot in eV for the cell shown: -107.47
Calculated density in g/cm³: 6.80
Total magnetization in μB per cell: 0.000

Unit cell a=5.875 b=7.880 c=15.118 alpha=90.00 beta=90.00 gamma=90.00
Fractional positions:
Na  0.115  0.492  0.389
Na  0.615  0.008  0.611
Na  0.885  0.508  0.889
Na  0.385  0.992  0.111
Na  0.885  0.508  0.611
Na  0.385  0.992  0.389
Na  0.115  0.492  0.111
Na  0.615  0.008  0.889
Na  0.566  0.327  0.250
Na  0.066  0.173  0.750
Na  0.434  0.673  0.750
Na  0.934  0.827  0.250
Si  0.894  0.147  0.399
Si  0.394  0.353  0.601
Si  0.106  0.853  0.899
Si  0.606  0.647  0.101
Si  0.106  0.853  0.601
Si  0.606  0.647  0.399
Si  0.894  0.147  0.101
Si  0.394  0.353  0.899
Au  0.041  0.191  0.250
Au  0.541  0.309  0.750
Au  0.959  0.809  0.750
Au  0.459  0.691  0.250
Au  0.620  0.350  0.459
Au  0.120  0.150  0.541
Au  0.380  0.650  0.959
Au  0.880  0.850  0.041
Au  0.380  0.650  0.541
Au  0.880  0.850  0.459
Au  0.620  0.350  0.041
Au  0.120  0.150  0.959